Density functional theory data (PBE with a Hubbard U) for a relaxed structure of CsCeMoO6.

Geometry as POSCAR:
```
CsCeMoO6
1.0
5.859 0.203 0.070
3.105 4.973 -0.070
0.074 -0.129 6.599
Cs Ce Mo O
1 1 1 6
Cartesian
8.998 5.023 6.599
6.076 3.422 3.299
3.224 1.776 3.299
1.305 1.941 2.108
2.408 0.031 4.490
4.749 1.724 4.312
2.080 2.690 4.479
3.942 3.122 2.287
3.444 0.328 2.120
```

Computed properties:
- space group = No. 5
- mass density (Mg/m³) = 4.1
- E (eV per atom) = -6.890